Entry from the Alexandria database: a relaxed structure of Ba2HgSbAu6 (PBE-GGA).

M_tot	0.00	μB per atom
D(E_F)	3.7	states/eV/f.u.
ρ	10790	kg/m3
total DFT energy (no corrections)	-32.338	eV per cell

Unit cell a=7.344 b=7.689 c=7.699 alpha=42.90 beta=81.94 gamma=97.92
Positions (direct):
Au: 0.250 0.751 0.002
Au: 0.918 0.752 0.835
Au: 0.752 0.748 0.499
Au: 0.750 0.249 0.998
Au: 0.082 0.248 0.165
Au: 0.248 0.252 0.501
Hg: 0.000 0.000 0.000
Ba: 0.717 0.252 0.534
Ba: 0.283 0.748 0.466
Sb: 0.500 0.500 0.000

***

Entry from the Alexandria database: a relaxed structure of Ba2Hg4SbAu3 (PBE-GGA).

M_tot	0.00	μB per atom
D(E_F)	5.6	states/eV/f.u.
ρ	10475	kg/m3
total DFT energy (no corrections)	-23.104	eV per cell

Unit cell a=4.880 b=4.880 c=11.912 alpha=90.00 beta=90.00 gamma=90.00
Positions (direct):
Au: 0.000 0.500 0.131
Au: 0.500 0.000 0.869
Au: 0.000 0.000 0.500
Ba: 0.500 0.000 0.246
Ba: 0.000 0.500 0.754
Hg: 0.500 0.500 0.000
Hg: 0.000 0.000 0.000
Hg: 0.500 0.000 0.638
Hg: 0.000 0.500 0.362
Sb: 0.500 0.500 0.500

***

Entry from the Alexandria database: a relaxed structure of Ba2HgSb3Au4 (PBE-GGA).

M_tot	0.00	μB per atom
D(E_F)	4.9	states/eV/f.u.
ρ	9878	kg/m3
total DFT energy (no corrections)	-35.361	eV per cell

Unit cell a=4.925 b=4.925 c=11.284 alpha=90.00 beta=90.00 gamma=90.00
Positions (direct):
Ba: 0.000 0.500 0.757
Ba: 0.500 0.000 0.243
Au: 0.500 0.000 0.632
Au: 0.000 0.000 0.000
Au: 0.500 0.500 0.000
Au: 0.000 0.500 0.368
Sb: 0.000 0.500 0.128
Sb: 0.000 0.000 0.500
Sb: 0.500 0.000 0.872
Hg: 0.500 0.500 0.500

***

Entry from the Alexandria database: a relaxed structure of Ba2Hg6SbAu (PBE-GGA).

M_tot	0.00	μB per atom
D(E_F)	3.6	states/eV/f.u.
ρ	9236	kg/m3
total DFT energy (no corrections)	-32.242	eV per cell

Unit cell a=8.280 b=7.763 c=10.052 alpha=90.00 beta=90.00 gamma=90.00
Positions (direct):
Hg: 0.173 0.578 0.000
Hg: 0.000 0.768 0.261
Hg: 0.821 0.952 0.500
Hg: 0.673 0.422 0.500
Hg: 0.321 0.048 0.000
Hg: 0.827 0.578 0.000
Hg: 0.679 0.048 0.000
Hg: 0.327 0.422 0.500
Hg: 0.500 0.232 0.761
Hg: 0.179 0.952 0.500
Hg: 0.000 0.768 0.739
Hg: 0.500 0.232 0.239
Ba: 0.500 0.763 0.268
Ba: 0.500 0.763 0.732
Ba: 0.000 0.237 0.768
Ba: 0.000 0.237 0.232
Au: 0.000 0.930 0.000
Au: 0.500 0.070 0.500
Sb: 0.000 0.532 0.500
Sb: 0.500 0.468 0.000

***

- Number 1 is which compound?
  Ba2HgSbAu6